{
  "formula": "NaCrRhO4",
  "functional": "GGA+U",
  "state": "optimized geometry",
  "n_ef_per_ev_atom": 0.445,
  "e_tot_ev_per_atom": -6.0889,
  "space_group": "P2_1/m, No. 11",
  "density_g_cm3": 4.642,
  "lattice_angstrom": [[5.6258, 0.0000, -0.1801], [0.0000, 5.6931, 0.0000], [-2.3716, 0.0000, 5.4796]],
  "species": ["O", "O", "O", "O", "O", "O", "O", "O", "Na", "Na", "Rh", "Rh", "Cr", "Cr"],
  "frac_coords": [[0.9019, 0.0293, 0.7655], [0.0981, 0.9707, 0.2345], [0.3939, 0.2500, 0.8133], [0.9019, 0.4707, 0.7655], [0.4701, 0.7500, 0.6551], [0.0981, 0.5293, 0.2345], [0.5299, 0.2500, 0.3449], [0.6061, 0.7500, 0.1867], [0.0357, 0.7500, 0.5724], [0.9643, 0.2500, 0.4276], [0.2078, 0.2500, 0.0443], [0.7922, 0.7500, 0.9557], [0.6246, 0.2500, 0.6845], [0.3754, 0.7500, 0.3155]]
}